1.
A plane-wave DFT calculation with GGA-PBE was carried out for a relaxed structure of Ta2CrHgI.

Structure (extended XYZ):
```
5
Lattice="4.780 0.000 0.000 0.000 4.780 0.000 0.000 0.000 4.891" Properties=species:S:1:pos:R:3 pbc="T T T"
Ta 0.000 2.390 0.000
Ta 2.390 0.000 0.000
Cr 0.000 0.000 0.000
Hg 2.390 2.390 2.446
I 0.000 0.000 2.446
```

For the density of states at the Fermi level, the calculation gives 4.73 states/eV/f.u. The size of the total moment comes out at 0.00 Bohr magnetons per cell. The density comes out at 11.0 g/cm³. As for the crystal system: tetragonal. For the raw formation energy, the calculation gives 1.346 eV per atom. Its total energy is -5.690 eV per atom.

=====

2.
A plane-wave DFT calculation with GGA-PBE was carried out for a relaxed structure of CrHgTeI2.

Structure (extended XYZ):
```
5
Lattice="5.663 0.000 0.000 0.000 5.663 0.000 0.000 0.000 5.232" Properties=species:S:1:pos:R:3 pbc="T T T"
Cr 0.000 0.000 0.000
Hg 2.832 2.832 2.616
Te 0.000 0.000 2.616
I 0.000 2.832 0.000
I 2.832 0.000 0.000
```

For the density of states at the Fermi level, the calculation gives 3.37 states/eV/f.u. As for the relative energy among the computed polymorphs: 0.000 eV/f.u. The size of the total moment comes out at 2.19 Bohr magnetons per cell. The density comes out at 6.3 g/cm³. As for the crystal system: tetragonal. For the raw formation energy, the calculation gives 0.080 eV per atom. Its total energy is -3.154 eV per atom.

=====

3.
A plane-wave DFT calculation with GGA-PBE was carried out for a relaxed structure of CrHgTe2I.

Structure (extended XYZ):
```
5
Lattice="5.615 0.000 0.000 0.000 5.615 0.000 0.000 0.000 6.016" Properties=species:S:1:pos:R:3 pbc="T T T"
Cr 0.000 0.000 0.000
Hg 2.808 2.808 3.008
Te 0.000 2.808 3.008
Te 2.808 0.000 3.008
I 2.808 2.808 0.000
```

For the density of states at the Fermi level, the calculation gives 7.64 states/eV/f.u. As for the relative energy among the computed polymorphs: 3.026 eV/f.u. The size of the total moment comes out at 3.83 Bohr magnetons per cell. The density comes out at 5.6 g/cm³. As for the crystal system: tetragonal. For the raw formation energy, the calculation gives 0.808 eV per atom. Its total energy is -2.744 eV per atom.

=====

4.
A plane-wave DFT calculation with GGA-PBE was carried out for a relaxed structure of CrHgTe2I.

Structure (extended XYZ):
```
5
Lattice="5.237 0.000 0.000 0.000 5.237 0.000 0.000 0.000 5.765" Properties=species:S:1:pos:R:3 pbc="T T T"
Cr 0.000 0.000 0.000
Hg 2.618 2.618 2.883
Te 0.000 2.618 0.000
Te 2.618 0.000 0.000
I 0.000 0.000 2.883
```

For the density of states at the Fermi level, the calculation gives 5.13 states/eV/f.u. As for the relative energy among the computed polymorphs: 0.000 eV/f.u. The size of the total moment comes out at 1.57 Bohr magnetons per cell. The density comes out at 6.7 g/cm³. As for the crystal system: tetragonal. For the raw formation energy, the calculation gives 0.203 eV per atom. Its total energy is -3.349 eV per atom.

=====

5.
A plane-wave DFT calculation with GGA-PBE was carried out for a relaxed structure of Ti2CrHgI.

Structure (extended XYZ):
```
5
Lattice="4.654 0.000 0.000 0.000 4.654 0.000 0.000 0.000 5.203" Properties=species:S:1:pos:R:3 pbc="T T T"
Ti 0.000 2.327 0.000
Ti 2.327 0.000 0.000
Cr 0.000 0.000 0.000
Hg 0.000 0.000 2.601
I 2.327 2.327 2.601
```

For the density of states at the Fermi level, the calculation gives 5.84 states/eV/f.u. The size of the total moment comes out at 0.43 Bohr magnetons per cell. The density comes out at 7.0 g/cm³. As for the crystal system: tetragonal. For the raw formation energy, the calculation gives 0.657 eV per atom. Its total energy is -4.796 eV per atom.

=====

6.
A plane-wave DFT calculation with GGA-PBE was carried out for a relaxed structure of CrIn3Hg.

Structure (extended XYZ):
```
5
Lattice="5.261 0.000 0.000 0.000 5.261 0.000 0.000 0.000 5.261" Properties=species:S:1:pos:R:3 pbc="T T T"
Cr 0.000 0.000 0.000
In 0.000 0.000 2.630
In 0.000 2.630 0.000
In 2.630 0.000 0.000
Hg 2.630 2.630 2.630
```

For the density of states at the Fermi level, the calculation gives 2.09 states/eV/f.u. As for the relative energy among the computed polymorphs: 0.000 eV/f.u. The size of the total moment comes out at 2.92 Bohr magnetons per cell. The density comes out at 6.8 g/cm³. As for the crystal system: cubic. Its total energy is -3.264 eV per atom. The formation energy comes out at 364 meV per atom.

=====

7.
A plane-wave DFT calculation with GGA-PBE was carried out for a relaxed structure of Cr2InHg.

Structure (extended XYZ):
```
16
Lattice="6.687 0.000 0.000 0.000 6.687 0.000 0.000 0.000 6.687" Properties=species:S:1:pos:R:3 pbc="T T T"
Cr 0.000 0.000 0.000
Cr 0.000 3.343 3.343
Cr 1.672 1.672 1.672
Cr 1.672 5.015 5.015
Cr 3.343 0.000 3.343
Cr 3.343 3.343 0.000
Cr 5.015 1.672 5.015
Cr 5.015 5.015 1.672
In 0.000 0.000 3.343
In 0.000 3.343 0.000
In 3.343 0.000 0.000
In 3.343 3.343 3.343
Hg 1.672 1.672 5.015
Hg 1.672 5.015 1.672
Hg 5.015 1.672 1.672
Hg 5.015 5.015 5.015
```

For the density of states at the Fermi level, the calculation gives 2.34 states/eV/f.u. The size of the total moment comes out at 0.25 Bohr magnetons per cell. The density comes out at 9.3 g/cm³. As for the crystal system: cubic. Its total energy is -5.121 eV per atom. The formation energy comes out at 450 meV per atom.

=====

8.
A plane-wave DFT calculation with GGA-PBE was carried out for a relaxed structure of CrIn2Hg.

Structure (extended XYZ):
```
16
Lattice="8.159 0.000 0.000 0.000 8.159 0.000 0.000 0.000 5.876" Properties=species:S:1:pos:R:3 pbc="T T T"
Cr 0.000 0.000 0.000
Cr 0.000 4.079 1.469
Cr 4.079 0.000 4.407
Cr 4.079 4.079 2.938
In 1.922 2.040 0.734
In 2.040 6.001 2.203
In 2.040 6.237 5.141
In 2.158 2.040 3.672
In 6.001 6.119 3.672
In 6.119 1.922 5.141
In 6.119 2.158 2.203
In 6.237 6.119 0.734
Hg 0.000 0.000 2.938
Hg 0.000 4.079 4.407
Hg 4.079 0.000 1.469
Hg 4.079 4.079 0.000
```

For the density of states at the Fermi level, the calculation gives 2.08 states/eV/f.u. The size of the total moment comes out at 16.32 Bohr magnetons per cell. The density comes out at 8.2 g/cm³. As for the crystal system: tetragonal. Its total energy is -3.429 eV per atom. The formation energy comes out at 422 meV per atom.

=====

9.
A plane-wave DFT calculation with GGA-PBE was carried out for a relaxed structure of Cr2In2Hg.

Structure (extended XYZ):
```
10
Lattice="7.342 0.000 0.000 0.000 7.342 0.000 0.000 0.000 3.440" Properties=species:S:1:pos:R:3 pbc="T T T"
Cr 0.726 2.945 0.000
Cr 2.945 6.616 0.000
Cr 4.397 0.726 0.000
Cr 6.616 4.397 0.000
In 1.388 5.059 1.720
In 2.283 1.388 1.720
In 5.059 5.954 1.720
In 5.954 2.283 1.720
Hg 0.000 0.000 0.000
Hg 3.671 3.671 0.000
```

For the density of states at the Fermi level, the calculation gives 3.54 states/eV/f.u. The size of the total moment comes out at 0.00 Bohr magnetons per cell. The density comes out at 9.6 g/cm³. As for the crystal system: tetragonal. Its total energy is -4.551 eV per atom. The formation energy comes out at 454 meV per atom.

=====

10.
A plane-wave DFT calculation with GGA-PBE was carried out for a relaxed structure of CrIn2Hg.

Structure (extended XYZ):
```
4
Lattice="3.658 0.000 0.000 0.000 3.658 0.000 0.000 0.000 6.761" Properties=species:S:1:pos:R:3 pbc="T T T"
Cr 0.000 0.000 0.000
In 0.000 0.000 3.256
In 1.829 1.829 5.194
Hg 1.829 1.829 1.477
```

For the density of states at the Fermi level, the calculation gives 1.70 states/eV/f.u. The size of the total moment comes out at 4.15 Bohr magnetons per cell. The density comes out at 8.9 g/cm³. As for the crystal system: tetragonal. Its total energy is -3.556 eV per atom. The formation energy comes out at 294 meV per atom.

=====

11.
A plane-wave DFT calculation with GGA-PBE was carried out for a relaxed structure of CrInHg2.

Structure (extended XYZ):
```
4
Lattice="3.697 0.000 0.000 0.000 3.762 0.000 0.000 0.000 6.340" Properties=species:S:1:pos:R:3 pbc="T T T"
Cr 0.000 0.000 0.000
In 1.848 1.881 1.549
Hg 0.000 0.000 3.230
Hg 1.848 1.881 4.917
```

For the density of states at the Fermi level, the calculation gives 1.26 states/eV/f.u. The size of the total moment comes out at 4.27 Bohr magnetons per cell. The density comes out at 10.7 g/cm³. As for the crystal system: orthorhombic. Its total energy is -2.934 eV per atom. The formation energy comes out at 307 meV per atom.

=====

12.
A plane-wave DFT calculation with GGA-PBE was carried out for a relaxed structure of Cr2InHg.

Structure (extended XYZ):
```
12
Lattice="3.196 0.000 0.000 -1.598 2.768 0.000 0.000 0.000 26.688" Properties=species:S:1:pos:R:3 pbc="T T T"
Cr 0.000 0.000 6.680
Cr 0.000 0.000 20.007
Cr 0.000 1.845 11.111
Cr 0.000 1.845 24.472
Cr 1.598 0.923 2.216
Cr 1.598 0.923 15.576
In 0.000 0.000 13.344
In 0.000 1.845 4.448
In 1.598 0.923 22.240
Hg 0.000 0.000 0.000
Hg 0.000 1.845 17.792
Hg 1.598 0.923 8.896
```

For the density of states at the Fermi level, the calculation gives 4.61 states/eV/f.u. The size of the total moment comes out at 22.24 Bohr magnetons per cell. The density comes out at 8.8 g/cm³. As for the crystal system: trigonal. Its total energy is -4.991 eV per atom. The formation energy comes out at 581 meV per atom.

=====

13.
A plane-wave DFT calculation with GGA-PBE was carried out for a relaxed structure of CrInHg2.

Structure (extended XYZ):
```
4
Lattice="3.604 0.000 0.000 0.000 3.604 0.000 0.000 0.000 6.784" Properties=species:S:1:pos:R:3 pbc="T T T"
Cr 0.000 0.000 0.000
In 0.000 0.000 3.392
Hg 1.802 1.802 1.534
Hg 1.802 1.802 5.250
```

For the density of states at the Fermi level, the calculation gives 1.48 states/eV/f.u. The size of the total moment comes out at 4.14 Bohr magnetons per cell. The density comes out at 10.7 g/cm³. As for the crystal system: tetragonal. Its total energy is -2.953 eV per atom. The formation energy comes out at 288 meV per atom.

=====

14.
A plane-wave DFT calculation with GGA-PBE was carried out for a relaxed structure of CrIn2Hg.

Structure (extended XYZ):
```
4
Lattice="3.376 0.000 0.000 0.000 5.088 0.000 0.000 0.000 5.177" Properties=species:S:1:pos:R:3 pbc="T T T"
Cr 0.000 0.000 0.000
In 1.688 0.000 2.610
In 1.688 2.544 0.749
Hg 0.000 2.544 3.432
```

For the density of states at the Fermi level, the calculation gives 2.05 states/eV/f.u. The size of the total moment comes out at 3.93 Bohr magnetons per cell. The density comes out at 9.0 g/cm³. As for the crystal system: orthorhombic. Its total energy is -3.554 eV per atom. The formation energy comes out at 297 meV per atom.

=====

15.
A plane-wave DFT calculation with GGA-PBE was carried out for a relaxed structure of CrIn2Hg.

Structure (extended XYZ):
```
4
Lattice="4.460 0.000 0.000 0.000 4.460 0.000 0.000 0.000 4.339" Properties=species:S:1:pos:R:3 pbc="T T T"
Cr 0.000 0.000 0.000
In 0.000 2.230 2.169
In 2.230 0.000 2.169
Hg 2.230 2.230 0.000
```

For the density of states at the Fermi level, the calculation gives 2.85 states/eV/f.u. The size of the total moment comes out at 3.82 Bohr magnetons per cell. The density comes out at 9.3 g/cm³. As for the crystal system: tetragonal. Its total energy is -3.544 eV per atom. The formation energy comes out at 306 meV per atom.

=====

16.
A plane-wave DFT calculation with GGA-PBE was carried out for a relaxed structure of CrInHg2.

Structure (extended XYZ):
```
8
Lattice="6.043 0.000 0.000 0.000 10.450 0.000 -1.702 0.000 2.852" Properties=species:S:1:pos:R:3 pbc="T T T"
Cr 0.000 0.000 0.000
Cr 3.022 5.225 0.000
In 0.000 5.225 0.000
In 3.022 0.000 0.000
Hg 1.511 2.612 0.000
Hg 1.511 7.837 0.000
Hg 4.533 2.612 0.000
Hg 4.533 7.837 0.000
```

For the density of states at the Fermi level, the calculation gives 1.83 states/eV/f.u. The size of the total moment comes out at 8.04 Bohr magnetons per cell. The density comes out at 10.5 g/cm³. As for the crystal system: monoclinic. Its total energy is -2.900 eV per atom. The formation energy comes out at 341 meV per atom.

=====

17.
A plane-wave DFT calculation with GGA-PBE was carried out for a relaxed structure of Cr2InHg.

Structure (extended XYZ):
```
8
Lattice="6.370 0.000 0.000 0.000 7.417 0.000 0.000 0.000 3.172" Properties=species:S:1:pos:R:3 pbc="T T T"
Cr 1.593 1.854 0.000
Cr 1.593 5.563 0.000
Cr 4.778 1.854 0.000
Cr 4.778 5.563 0.000
In 0.000 0.000 1.586
In 3.185 3.708 1.586
Hg 0.000 3.708 1.586
Hg 3.185 0.000 1.586
```

For the density of states at the Fermi level, the calculation gives 1.97 states/eV/f.u. The size of the total moment comes out at 14.82 Bohr magnetons per cell. The density comes out at 9.3 g/cm³. As for the crystal system: orthorhombic. Its total energy is -5.120 eV per atom. The formation energy comes out at 452 meV per atom.

=====

18.
A plane-wave DFT calculation with GGA-PBE was carried out for a relaxed structure of CrIn2Hg.

Structure (extended XYZ):
```
8
Lattice="14.041 0.000 0.000 0.000 3.050 0.000 -1.559 0.000 4.461" Properties=species:S:1:pos:R:3 pbc="T T T"
Cr 0.000 0.000 0.000
Cr 7.020 1.525 0.000
In 2.320 1.525 0.837
In 3.142 0.000 3.625
In 9.340 0.000 0.837
In 10.162 1.525 3.625
Hg -0.779 1.525 2.231
Hg 6.241 0.000 2.231
```

For the density of states at the Fermi level, the calculation gives 2.30 states/eV/f.u. The size of the total moment comes out at 7.18 Bohr magnetons per cell. The density comes out at 8.4 g/cm³. As for the crystal system: monoclinic. Its total energy is -3.584 eV per atom. The formation energy comes out at 267 meV per atom.

=====

19.
A plane-wave DFT calculation with GGA-PBE was carried out for a relaxed structure of Cr2InHg.

Structure (extended XYZ):
```
8
Lattice="3.076 0.000 0.000 0.000 3.126 0.000 0.000 0.000 15.121" Properties=species:S:1:pos:R:3 pbc="T T T"
Cr 0.000 0.000 0.000
Cr 0.000 1.563 7.561
Cr 1.538 0.000 6.444
Cr 1.538 1.563 14.004
In 1.538 0.000 9.461
In 1.538 1.563 1.900
Hg 0.000 0.000 12.078
Hg 0.000 1.563 4.518
```

For the density of states at the Fermi level, the calculation gives 1.65 states/eV/f.u. The size of the total moment comes out at 0.70 Bohr magnetons per cell. The density comes out at 9.6 g/cm³. As for the crystal system: orthorhombic. Its total energy is -5.303 eV per atom. The formation energy comes out at 269 meV per atom.

=====

20.
A plane-wave DFT calculation with GGA-PBE was carried out for a relaxed structure of CrInHg2.

Structure (extended XYZ):
```
4
Lattice="4.470 0.000 0.000 0.000 4.470 0.000 0.000 0.000 4.307" Properties=species:S:1:pos:R:3 pbc="T T T"
Cr 0.000 0.000 0.000
In 2.235 2.235 0.000
Hg 0.000 2.235 2.154
Hg 2.235 0.000 2.154
```

For the density of states at the Fermi level, the calculation gives 2.05 states/eV/f.u. The size of the total moment comes out at 4.09 Bohr magnetons per cell. The density comes out at 11.0 g/cm³. As for the crystal system: tetragonal. Its total energy is -2.925 eV per atom. The formation energy comes out at 316 meV per atom.